VASP calculation (PBE) on an optimized crystal structure of Ce2PuAl.

Summary:
Space-group type ... P4/mmm (123)
Formation energy ... -0.0671 eV/atom
Crystal system ... tetragonal
DOS at the Fermi energy ... 2.4368 states/eV per atom

Cell: 3.8135 3.8135 6.8726 Å, 90.00 90.00 90.00°
Closest atoms and distances in Å follow each position.
Fractional positions:
1 Ce 0.0000 0.0000 0.2407  4 Al 3.16, 4 Pu 3.23, 1 Ce 3.31
2 Ce 0.0000 0.0000 0.7593  4 Al 3.16, 4 Pu 3.23, 1 Ce 3.31
3 Pu 0.5000 0.5000 0.5000  8 Ce 3.23, 2 Al 3.44
4 Al 0.5000 0.5000 0.0000  8 Ce 3.16, 2 Pu 3.44

VASP calculation (PBE) on an optimized crystal structure of Ce6PuAl3.

Summary:
Space-group type ... C2/m (12)
Formation energy ... -0.1597 eV/atom
Crystal system ... monoclinic
DOS at the Fermi energy ... 2.1341 states/eV per atom

Cell: 9.9952 9.9952 5.9699 Å, 107.31 107.31 60.52°
Closest atoms and distances in Å follow each position.
Fractional positions:
1 Ce 0.0618 0.0618 0.3298  1 Pu 2.54
2 Ce 0.0856 0.4240 0.7682  1 Pu 2.51
3 Ce 0.2198 0.2198 0.2192  1 Pu 2.53
4 Ce 0.2784 0.5585 0.5335  2 Ce 2.82-2.98
5 Ce 0.4240 0.0856 0.7682  1 Pu 2.51
6 Ce 0.4415 0.7216 0.4665  2 Ce 2.82-2.98
7 Ce 0.5585 0.2784 0.5335  2 Ce 2.82-2.98
8 Ce 0.5760 0.9144 0.2318  1 Pu 2.51
9 Ce 0.7216 0.4415 0.4665  2 Ce 2.82-2.98
10 Ce 0.7802 0.7802 0.7808  1 Pu 2.53
11 Ce 0.9144 0.5760 0.2318  1 Pu 2.51
12 Ce 0.9382 0.9382 0.6702  1 Pu 2.54
13 Pu 0.1481 0.1481 0.7708  4 Ce 2.51-2.54
14 Pu 0.8519 0.8519 0.2292  4 Ce 2.51-2.54
15 Al 0.1511 0.7070 0.0529  2 Al 2.73-2.80, 1 Pu 2.97
16 Al 0.2930 0.8489 0.9471  2 Al 2.73-2.80, 1 Pu 2.97
17 Al 0.4239 0.4239 0.0477  3 Al 2.80-2.87
18 Al 0.5761 0.5761 0.9523  3 Al 2.80-2.87
19 Al 0.7070 0.1511 0.0529  2 Al 2.73-2.80, 1 Pu 2.97
20 Al 0.8489 0.2930 0.9471  2 Al 2.73-2.80, 1 Pu 2.97

VASP calculation (PBE) on an optimized crystal structure of Ce7Pu2Al3.

Summary:
Space-group type ... P2/m (10)
Formation energy ... -0.0882 eV/atom
Crystal system ... monoclinic
DOS at the Fermi energy ... 2.4413 states/eV per atom

Cell: 5.8512 3.1583 15.7046 Å, 90.00 98.28 90.00°
Closest atoms and distances in Å follow each position.
Fractional positions:
1 Ce 0.0000 0.0000 0.0000  8 Ce 3.16-3.37, 4 Al 3.32
2 Ce 0.2509 0.5000 0.1733  6 Ce 3.10-3.30, 3 Al 3.19-3.27, 1 Pu 3.26
3 Ce 0.2583 0.5000 0.4929  2 Ce 2.80-3.06, 1 Pu 2.96
4 Ce 0.2949 0.0000 0.8306  5 Ce 3.10-3.37, 2 Pu 3.11, 3 Al 3.18-3.27
5 Ce 0.7051 0.0000 0.1694  5 Ce 3.10-3.37, 2 Pu 3.11, 3 Al 3.18-3.27
6 Ce 0.7417 0.5000 0.5071  2 Ce 2.80-3.06, 1 Pu 2.96
7 Ce 0.7491 0.5000 0.8267  6 Ce 3.10-3.30, 3 Al 3.19-3.27, 1 Pu 3.26
8 Pu 0.0623 0.5000 0.6710  5 Ce 2.96-3.26, 2 Pu 3.16, 2 Al 3.26
9 Pu 0.9377 0.5000 0.3290  5 Ce 2.96-3.26, 2 Pu 3.16, 2 Al 3.26
10 Al 0.4581 0.0000 0.3436  2 Al 3.16, 7 Ce 3.19-3.27, 4 Pu 3.26-3.41
11 Al 0.5000 0.5000 0.0000  2 Al 3.16, 10 Ce 3.18-3.32
12 Al 0.5419 0.0000 0.6564  2 Al 3.16, 7 Ce 3.19-3.27, 4 Pu 3.26-3.41

VASP calculation (PBE) on an optimized crystal structure of CePuAl2.

Summary:
Space-group type ... P4/mmm (123)
Formation energy ... -0.2419 eV/atom
Crystal system ... tetragonal
DOS at the Fermi energy ... 2.0825 states/eV per atom

Cell: 3.0768 3.0768 9.2862 Å, 90.00 90.00 90.00°
Closest atoms and distances in Å follow each position.
Fractional positions:
1 Ce 0.0000 0.0000 0.0000  4 Ce 3.08, 8 Al 3.21
2 Pu 0.0000 0.0000 0.5000  4 Pu 3.08, 8 Al 3.15
3 Al 0.5000 0.5000 0.2543  4 Al 3.08, 4 Pu 3.15, 4 Ce 3.21
4 Al 0.5000 0.5000 0.7457  4 Al 3.08, 4 Pu 3.15, 4 Ce 3.21

VASP calculation (PBE) on an optimized crystal structure of Ce4PuAl.

Summary:
Space-group type ... Pnc2 (30)
Formation energy ... 0.0943 eV/atom
Crystal system ... orthorhombic
DOS at the Fermi energy ... 2.0016 states/eV per atom

Cell: 7.2569 6.7537 6.8266 Å, 90.00 90.00 90.00°
Closest atoms and distances in Å follow each position.
Fractional positions:
1 Ce 0.1411 0.2386 0.0000  2 Pu 2.55-2.67
2 Ce 0.1411 0.2614 0.5000  2 Pu 2.55-2.67
3 Ce 0.2805 0.6821 0.1926  1 Pu 2.41
4 Ce 0.2805 0.8179 0.6926  1 Pu 2.41
5 Ce 0.7195 0.1821 0.6926  1 Pu 2.41
6 Ce 0.7195 0.3179 0.1926  1 Pu 2.41
7 Ce 0.8589 0.7386 0.5000  2 Pu 2.55-2.67
8 Ce 0.8589 0.7614 0.0000  2 Pu 2.55-2.67
9 Pu 0.0000 0.0000 0.7525  6 Ce 2.41-2.67
10 Pu 0.0000 0.5000 0.2525  6 Ce 2.41-2.67
11 Al 0.5000 0.0000 0.3510  4 Ce 2.88-3.08
12 Al 0.5000 0.5000 0.8510  4 Ce 2.88-3.08

VASP calculation (PBE) on an optimized crystal structure of Ce5Pu2Al.

Summary:
Space-group type ... I4mm (107)
Formation energy ... -0.0484 eV/atom
Crystal system ... tetragonal
DOS at the Fermi energy ... 2.5481 states/eV per atom

Cell: 6.5308 6.5308 6.5308 Å, 119.65 119.65 90.61°
Closest atoms and distances in Å follow each position.
Fractional positions:
1 Ce 0.0000 0.0000 0.0000  8 Ce 3.27, 4 Pu 3.28
2 Ce 0.0007 0.0007 0.5007  4 Pu 3.26-3.27, 2 Al 3.27, 6 Ce 3.27-3.29
3 Ce 0.0007 0.5000 0.0000  4 Pu 3.26-3.27, 2 Al 3.27, 6 Ce 3.27-3.29
4 Ce 0.5000 0.0007 0.0000  4 Pu 3.26-3.27, 2 Al 3.27, 6 Ce 3.27-3.29
5 Ce 0.5000 0.5000 0.4993  4 Pu 3.26-3.27, 2 Al 3.27, 6 Ce 3.27-3.29
6 Pu 0.9999 0.4999 0.5000  10 Ce 3.26-3.28, 2 Al 3.28
7 Pu 0.4999 0.9999 0.5000  10 Ce 3.26-3.28, 2 Al 3.28
8 Al 0.5008 0.5008 0.0000  8 Ce 3.27, 4 Pu 3.28

VASP calculation (PBE) on an optimized crystal structure of CePuAl2.

Summary:
Space-group type ... Imma (74)
Formation energy ... -0.2609 eV/atom
Crystal system ... orthorhombic
DOS at the Fermi energy ... 1.8207 states/eV per atom

Cell: 6.3462 6.3462 6.3462 Å, 123.35 86.17 121.14°
Closest atoms and distances in Å follow each position.
Fractional positions:
1 Ce 0.2691 0.0191 0.2500  3 Pu 2.74-3.01
2 Ce 0.7309 0.9809 0.7500  3 Pu 2.74-3.01
3 Pu 0.2909 0.5409 0.7500  3 Ce 2.74-3.01
4 Pu 0.7091 0.4591 0.2500  3 Ce 2.74-3.01
5 Al 0.2374 0.0000 0.7374  4 Al 3.01-3.13, 4 Pu 3.15-3.23, 4 Ce 3.15-3.20
6 Al 0.2374 0.5000 0.2374  4 Al 3.01-3.13, 4 Pu 3.15-3.23, 4 Ce 3.15-3.20
7 Al 0.7626 0.0000 0.2626  4 Al 3.01-3.13, 4 Pu 3.15-3.23, 4 Ce 3.15-3.20
8 Al 0.7626 0.5000 0.7626  4 Al 3.01-3.13, 4 Pu 3.15-3.23, 4 Ce 3.15-3.20

VASP calculation (PBE) on an optimized crystal structure of Ce8PuAl2.

Summary:
Space-group type ... C2/m (12)
Formation energy ... -0.0470 eV/atom
Crystal system ... monoclinic
DOS at the Fermi energy ... 2.4946 states/eV per atom

Cell: 8.8308 8.8308 6.7576 Å, 111.08 111.08 34.79°
Closest atoms and distances in Å follow each position.
Fractional positions:
1 Ce 0.0084 0.0084 0.3012  3 Ce 2.81-3.09
2 Ce 0.1909 0.1909 0.1989  4 Al 3.21-3.42, 7 Ce 3.29-3.51
3 Ce 0.3726 0.3726 0.1234  1 Pu 2.58
4 Ce 0.3884 0.3884 0.5878  1 Pu 2.71
5 Ce 0.6116 0.6116 0.4122  1 Pu 2.71
6 Ce 0.6274 0.6274 0.8766  1 Pu 2.58
7 Ce 0.8091 0.8091 0.8011  4 Al 3.21-3.42, 7 Ce 3.29-3.51
8 Ce 0.9916 0.9916 0.6988  3 Ce 2.81-3.09
9 Pu 0.5000 0.5000 0.0000  4 Ce 2.58-2.71
10 Al 0.1923 0.1923 0.6934  11 Ce 3.21-3.42
11 Al 0.8077 0.8077 0.3066  11 Ce 3.21-3.42

VASP calculation (PBE) on an optimized crystal structure of Ce6PuAl.

Summary:
Space-group type ... C2/c (15)
Formation energy ... -0.0996 eV/atom
Crystal system ... monoclinic
DOS at the Fermi energy ... 2.2846 states/eV per atom

Cell: 6.9165 6.9165 11.6260 Å, 100.38 100.38 50.99°
Closest atoms and distances in Å follow each position.
Fractional positions:
1 Ce 0.0013 0.8429 0.6074  1 Pu 2.48
2 Ce 0.1409 0.3046 0.6853  1 Pu 2.46
3 Ce 0.1571 0.9987 0.8926  1 Pu 2.48
4 Ce 0.2901 0.4428 0.9688  1 Pu 2.50
5 Ce 0.3046 0.1409 0.1853  1 Pu 2.46
6 Ce 0.4428 0.2901 0.4688  1 Pu 2.50
7 Ce 0.5572 0.7099 0.5312  1 Pu 2.50
8 Ce 0.6954 0.8591 0.8147  1 Pu 2.46
9 Ce 0.7099 0.5572 0.0312  1 Pu 2.50
10 Ce 0.8429 0.0013 0.1074  1 Pu 2.48
11 Ce 0.8591 0.6954 0.3147  1 Pu 2.46
12 Ce 0.9987 0.1571 0.3926  1 Pu 2.48
13 Pu 0.0000 0.5000 0.5000  6 Ce 2.46-2.50
14 Pu 0.5000 0.0000 0.0000  6 Ce 2.46-2.50
15 Al 0.4130 0.5870 0.2500  12 Ce 3.36-3.61
16 Al 0.5870 0.4130 0.7500  12 Ce 3.36-3.61

VASP calculation (PBE) on an optimized crystal structure of Ce4PuAl2.

Summary:
Space-group type ... P2_1/m (11)
Formation energy ... -0.0989 eV/atom
Crystal system ... monoclinic
DOS at the Fermi energy ... 2.0845 states/eV per atom

Cell: 5.5767 6.4820 9.9067 Å, 90.00 100.21 90.00°
Closest atoms and distances in Å follow each position.
Fractional positions:
1 Ce 0.1517 0.2500 0.0817  1 Pu 2.60
2 Ce 0.2346 0.7500 0.4188  1 Pu 2.51
3 Ce 0.3115 0.0003 0.7272  1 Pu 2.54
4 Ce 0.3115 0.4997 0.7272  1 Pu 2.54
5 Ce 0.6885 0.9997 0.2728  1 Pu 2.54
6 Ce 0.6885 0.5003 0.2728  1 Pu 2.54
7 Ce 0.7654 0.2500 0.5812  1 Pu 2.51
8 Ce 0.8483 0.7500 0.9183  1 Pu 2.60
9 Pu 0.0237 0.2500 0.8163  4 Ce 2.51-2.60
10 Pu 0.9763 0.7500 0.1837  4 Ce 2.51-2.60
11 Al 0.2168 0.2500 0.4103  11 Ce 3.21-3.56
12 Al 0.3806 0.7500 0.0291  1 Pu 2.94, 4 Ce 2.98-3.15
13 Al 0.6194 0.2500 0.9709  1 Pu 2.94, 4 Ce 2.98-3.15
14 Al 0.7832 0.7500 0.5897  11 Ce 3.21-3.56

VASP calculation (PBE) on an optimized crystal structure of Ce2PuAl2Ru5.

Summary:
Space-group type ... P4/mbm (127)
Formation energy ... -0.3698 eV/atom
Crystal system ... tetragonal
DOS at the Fermi energy ... 1.4240 states/eV per atom

Cell: 10.1575 10.1575 3.4739 Å, 90.00 90.00 90.00°
Closest atoms and distances in Å follow each position.
Fractional positions:
1 Ce 0.1720 0.3280 0.0000  3 Al 2.92-3.05, 10 Ru 3.02-3.26
2 Ce 0.3280 0.8280 0.0000  3 Al 2.92-3.05, 10 Ru 3.02-3.26
3 Ce 0.6720 0.1720 0.0000  3 Al 2.92-3.05, 10 Ru 3.02-3.26
4 Ce 0.8280 0.6720 0.0000  3 Al 2.92-3.05, 10 Ru 3.02-3.26
5 Pu 0.0000 0.0000 0.0000  8 Ru 2.81
6 Pu 0.5000 0.5000 0.0000  8 Ru 2.81
7 Al 0.1246 0.6246 0.0000  6 Ru 2.49-2.51
8 Al 0.3754 0.1246 0.0000  6 Ru 2.49-2.51
9 Al 0.6246 0.8754 0.0000  6 Ru 2.49-2.51
10 Al 0.8754 0.3754 0.0000  6 Ru 2.49-2.51
11 Ru 0.0000 0.5000 0.5000  4 Al 2.49
12 Ru 0.0707 0.7947 0.5000  2 Al 2.51, 2 Pu 2.81
13 Ru 0.2053 0.0707 0.5000  2 Al 2.51, 2 Pu 2.81
14 Ru 0.2947 0.5707 0.5000  2 Al 2.51, 2 Pu 2.81
15 Ru 0.4293 0.2947 0.5000  2 Al 2.51, 2 Pu 2.81
16 Ru 0.5000 0.0000 0.5000  4 Al 2.49
17 Ru 0.5707 0.7053 0.5000  2 Al 2.51, 2 Pu 2.81
18 Ru 0.7053 0.4293 0.5000  2 Al 2.51, 2 Pu 2.81
19 Ru 0.7947 0.9293 0.5000  2 Al 2.51, 2 Pu 2.81
20 Ru 0.9293 0.2053 0.5000  2 Al 2.51, 2 Pu 2.81

VASP calculation (PBE) on an optimized crystal structure of Ce2Pu2AlSi4.

Summary:
E_tot ... -7.469 eV/atom
Space-group type ... I4/mmm (139)
Crystal system ... tetragonal
DOS at the Fermi energy ... 2.1487 states/eV per atom

Cell: 6.4704 6.4704 6.4704 Å, 116.05 116.05 96.99°
Closest atoms and distances in Å follow each position.
Fractional positions:
1 Ce 0.2500 0.7500 0.5000  8 Si 3.24, 4 Pu 3.49
2 Ce 0.7500 0.2500 0.5000  8 Si 3.24, 4 Pu 3.49
3 Pu 0.1753 0.1753 0.0000  1 Al 2.78, 4 Si 2.87, 1 Pu 3.01
4 Pu 0.8247 0.8247 0.0000  1 Al 2.78, 4 Si 2.87, 1 Pu 3.01
5 Al 0.5000 0.5000 0.0000  4 Si 2.40
6 Si 0.2521 0.2521 0.5042  1 Al 2.40
7 Si 0.2521 0.7479 0.0000  1 Al 2.40
8 Si 0.7479 0.2521 0.0000  1 Al 2.40
9 Si 0.7479 0.7479 0.4958  1 Al 2.40

> Which value of DOS at the Fermi energy does entry 3 give?

2.4413 states/eV per atom

> Look up the DOS at the Fermi energy of the eleventh one.

1.4240 states/eV per atom